Entry a
VASP calculation (PBEsol) on a relaxed structure of KNa2Tl2.

Results
* D(E_F): 2.8 states/eV/f.u.
* SG: No. 127
* V: 155.38 Å³/f.u.

abc: 9.423 9.423 3.500
angles: 90.00 90.00 90.00
Fractional positions:
K 0.000 0.000 0.000
K 0.500 0.500 0.000
Na 0.175 0.325 0.500
Na 0.325 0.825 0.500
Na 0.675 0.175 0.500
Na 0.825 0.675 0.500
Tl 0.117 0.617 0.000
Tl 0.383 0.117 0.000
Tl 0.617 0.883 0.000
Tl 0.883 0.383 0.000



Entry b
VASP calculation (PBEsol) on a relaxed structure of KNa2Tl2.

Results
* D(E_F): 2.8 states/eV/f.u.
* SG: No. 139
* V: 172.09 Å³/f.u.

abc: 8.015 8.015 8.015
angles: 144.57 144.57 50.97
Fractional positions:
K 0.000 0.000 0.000
Na 0.250 0.750 0.500
Na 0.750 0.250 0.500
Tl 0.398 0.398 0.000
Tl 0.602 0.602 0.000



Which structure is most stable? entry a, by 54 meV/atom over the runner-up.



Entry a
VASP calculation (PBEsol) on a relaxed structure of K3Nb3Si2O13.

Results
* D(E_F): 0.0 states/eV/f.u.
* SG: No. 189
* V: 284.86 Å³/f.u.

abc: 9.169 9.169 7.826
angles: 90.00 90.00 120.00
Fractional positions:
K 0.000 0.598 0.000
K 0.000 0.607 0.500
K 0.393 0.393 0.500
K 0.402 0.402 0.000
K 0.598 0.000 0.000
K 0.607 0.000 0.500
Nb 0.000 0.238 0.250
Nb 0.000 0.238 0.750
Nb 0.238 0.000 0.250
Nb 0.238 0.000 0.750
Nb 0.762 0.762 0.250
Nb 0.762 0.762 0.750
Si 0.333 0.667 0.289
Si 0.333 0.667 0.711
Si 0.667 0.333 0.289
Si 0.667 0.333 0.711
O 0.000 0.227 0.000
O 0.000 0.278 0.500
O 0.000 0.825 0.271
O 0.000 0.825 0.729
O 0.175 0.175 0.271
O 0.175 0.175 0.729
O 0.182 0.486 0.225
O 0.182 0.486 0.775
O 0.227 0.000 0.000
O 0.278 0.000 0.500
O 0.304 0.818 0.225
O 0.304 0.818 0.775
O 0.333 0.667 0.500
O 0.486 0.182 0.225
O 0.486 0.182 0.775
O 0.514 0.696 0.225
O 0.514 0.696 0.775
O 0.667 0.333 0.500
O 0.696 0.514 0.225
O 0.696 0.514 0.775
O 0.722 0.722 0.500
O 0.773 0.773 0.000
O 0.818 0.304 0.225
O 0.818 0.304 0.775
O 0.825 0.000 0.271
O 0.825 0.000 0.729



Entry b
VASP calculation (PBEsol) on a relaxed structure of K3Nb3Si2O13.

Results
* D(E_F): 0.0 states/eV/f.u.
* SG: No. 190
* V: 286.57 Å³/f.u.

abc: 9.165 9.165 7.879
angles: 90.00 90.00 120.00
Fractional positions:
K 0.031 0.617 0.250
K 0.383 0.415 0.250
K 0.415 0.383 0.750
K 0.585 0.969 0.250
K 0.617 0.031 0.750
K 0.969 0.585 0.750
Nb 0.000 0.239 0.000
Nb 0.000 0.239 0.500
Nb 0.239 0.000 0.000
Nb 0.239 0.000 0.500
Nb 0.761 0.761 0.000
Nb 0.761 0.761 0.500
Si 0.333 0.667 0.543
Si 0.333 0.667 0.957
Si 0.667 0.333 0.043
Si 0.667 0.333 0.457
O 0.000 0.824 0.000
O 0.000 0.824 0.500
O 0.015 0.262 0.750
O 0.176 0.176 0.000
O 0.176 0.176 0.500
O 0.181 0.488 0.023
O 0.181 0.488 0.477
O 0.247 0.985 0.750
O 0.262 0.015 0.250
O 0.307 0.819 0.023
O 0.307 0.819 0.477
O 0.333 0.667 0.750
O 0.488 0.181 0.523
O 0.488 0.181 0.977
O 0.512 0.693 0.023
O 0.512 0.693 0.477
O 0.667 0.333 0.250
O 0.693 0.512 0.523
O 0.693 0.512 0.977
O 0.738 0.753 0.750
O 0.753 0.738 0.250
O 0.819 0.307 0.523
O 0.819 0.307 0.977
O 0.824 0.000 0.000
O 0.824 0.000 0.500
O 0.985 0.247 0.250



Which structure is most stable? entry b, by 6 meV/atom over the runner-up.



Entry a
VASP calculation (PBEsol) on a relaxed structure of KNdS2O8.

Results
* D(E_F): 0.0 states/eV/f.u.
* SG: No. 14
* V: 163.06 Å³/f.u.

abc: 8.575 7.154 10.642
angles: 90.00 92.50 90.00
Fractional positions:
K 0.064 0.148 0.344
K 0.064 0.352 0.844
K 0.936 0.648 0.156
K 0.936 0.852 0.656
Nd 0.443 0.668 0.651
Nd 0.443 0.832 0.151
Nd 0.557 0.168 0.849
Nd 0.557 0.332 0.349
S 0.224 0.658 0.410
S 0.224 0.842 0.910
S 0.315 0.165 0.609
S 0.315 0.335 0.109
S 0.685 0.665 0.891
S 0.685 0.835 0.391
S 0.776 0.158 0.090
S 0.776 0.342 0.590
O 0.102 0.529 0.367
O 0.102 0.971 0.867
O 0.147 0.142 0.607
O 0.147 0.358 0.107
O 0.196 0.749 0.532
O 0.196 0.751 0.032
O 0.251 0.696 0.813
O 0.251 0.804 0.313
O 0.363 0.167 0.189
O 0.363 0.333 0.689
O 0.373 0.178 0.481
O 0.373 0.322 0.981
O 0.377 0.556 0.438
O 0.377 0.944 0.938
O 0.401 0.008 0.678
O 0.401 0.492 0.178
O 0.599 0.508 0.822
O 0.599 0.992 0.322
O 0.623 0.056 0.062
O 0.623 0.444 0.562
O 0.627 0.678 0.019
O 0.627 0.822 0.519
O 0.637 0.667 0.311
O 0.637 0.833 0.811
O 0.749 0.196 0.687
O 0.749 0.304 0.187
O 0.804 0.249 0.968
O 0.804 0.251 0.468
O 0.853 0.642 0.893
O 0.853 0.858 0.393
O 0.898 0.029 0.133
O 0.898 0.471 0.633



Entry b
VASP calculation (PBEsol) on a relaxed structure of KNdS2O8.

Results
* D(E_F): 0.0 states/eV/f.u.
* SG: No. 2
* V: 166.47 Å³/f.u.

abc: 5.356 6.923 9.068
angles: 97.51 92.79 90.75
Fractional positions:
K 0.227 0.178 0.184
K 0.773 0.822 0.816
Nd 0.253 0.303 0.723
Nd 0.747 0.697 0.277
S 0.262 0.684 0.072
S 0.274 0.777 0.559
S 0.726 0.223 0.441
S 0.738 0.316 0.928
O 0.039 0.808 0.103
O 0.096 0.812 0.437
O 0.196 0.601 0.624
O 0.220 0.566 0.926
O 0.282 0.944 0.680
O 0.305 0.563 0.195
O 0.470 0.249 0.496
O 0.488 0.812 0.074
O 0.512 0.188 0.926
O 0.530 0.751 0.504
O 0.695 0.437 0.805
O 0.718 0.056 0.320
O 0.780 0.434 0.074
O 0.804 0.399 0.376
O 0.904 0.188 0.563
O 0.961 0.192 0.897



Which structure is most stable? entry a, by 6 meV/atom over the runner-up.



Entry a
VASP calculation (PBEsol) on a relaxed structure of KTa2NiOs.

Results
* D(E_F): 5.8 states/eV/f.u.
* SG: No. 123
* V: 112.97 Å³/f.u.

abc: 4.819 4.819 4.864
angles: 90.00 90.00 90.00
Fractional positions:
K 0.000 0.000 0.000
Ta 0.000 0.500 0.500
Ta 0.500 0.000 0.500
Ni 0.500 0.500 0.000
Os 0.500 0.500 0.500



Entry b
VASP calculation (PBEsol) on a relaxed structure of KTa2NiOs.

Results
* D(E_F): 6.7 states/eV/f.u.
* SG: No. 123
* V: 97.64 Å³/f.u.

abc: 4.603 4.603 4.609
angles: 90.00 90.00 90.00
Fractional positions:
K 0.000 0.000 0.000
Ta 0.000 0.500 0.500
Ta 0.500 0.000 0.500
Ni 0.000 0.000 0.500
Os 0.500 0.500 0.000



Which structure is most stable? entry a, by 561 meV/atom over the runner-up.



Entry a
VASP calculation (PBEsol) on a relaxed structure of KNi2Rh.

Results
* D(E_F): 6.0 states/eV/f.u.
* SG: No. 47
* V: 67.16 Å³/f.u.

abc: 2.668 3.464 7.267
angles: 90.00 90.00 90.00
Fractional positions:
K 0.000 0.000 0.000
Ni 0.500 0.500 0.335
Ni 0.500 0.500 0.665
Rh 0.000 0.000 0.500



Entry b
VASP calculation (PBEsol) on a relaxed structure of KNi2Rh.

Results
* D(E_F): 7.4 states/eV/f.u.
* SG: No. 123
* V: 57.83 Å³/f.u.

abc: 4.700 4.700 2.618
angles: 90.00 90.00 90.00
Fractional positions:
K 0.000 0.000 0.000
Ni 0.000 0.500 0.500
Ni 0.500 0.000 0.500
Rh 0.500 0.500 0.000



Which structure is most stable? entry a, by 334 meV/atom over the runner-up.



Entry a
VASP calculation (PBEsol) on a relaxed structure of KSi2Ni.

Results
* D(E_F): 1.5 states/eV/f.u.
* SG: No. 123
* V: 66.54 Å³/f.u.

abc: 2.903 2.903 7.894
angles: 90.00 90.00 90.00
Fractional positions:
K 0.000 0.000 0.000
Si 0.500 0.500 0.331
Si 0.500 0.500 0.669
Ni 0.000 0.000 0.500



Entry b
VASP calculation (PBEsol) on a relaxed structure of KSi2Ni.

Results
* D(E_F): 2.2 states/eV/f.u.
* SG: No. 216
* V: 65.22 Å³/f.u.

abc: 4.518 4.518 4.518
angles: 60.00 60.00 60.00
Fractional positions:
K 0.000 0.000 0.000
Si 0.250 0.250 0.250
Si 0.500 0.500 0.500
Ni 0.750 0.750 0.750



Entry c
VASP calculation (PBEsol) on a relaxed structure of KSi2Ni.

Results
* D(E_F): 1.8 states/eV/f.u.
* SG: No. 166
* V: 66.45 Å³/f.u.

abc: 9.218 9.218 9.218
angles: 18.16 18.16 18.16
Fractional positions:
K 0.000 0.000 0.000
Si 0.229 0.229 0.229
Si 0.771 0.771 0.771
Ni 0.500 0.500 0.500



Which structure is most stable? entry a, by 238 meV/atom over the runner-up.



Entry a
VASP calculation (PBEsol) on a relaxed structure of KSi2Ni.

Results
* D(E_F): 3.1 states/eV/f.u.
* SG: No. 160
* V: 81.77 Å³/f.u.

abc: 6.675 6.675 6.675
angles: 33.74 33.74 33.74
Fractional positions:
K 0.000 0.000 0.000
Si 0.196 0.196 0.196
Si 0.465 0.465 0.465
Ni 0.826 0.826 0.826



Entry b
VASP calculation (PBEsol) on a relaxed structure of KSi2Ni.

Results
* D(E_F): 2.2 states/eV/f.u.
* SG: No. 123
* V: 67.26 Å³/f.u.

abc: 3.870 3.870 4.490
angles: 90.00 90.00 90.00
Fractional positions:
K 0.000 0.000 0.000
Si 0.000 0.500 0.500
Si 0.500 0.000 0.500
Ni 0.500 0.500 0.000



Which structure is most stable? entry a, by 942 meV/atom over the runner-up.



Entry a
VASP calculation (PBEsol) on a relaxed structure of KTc2Ni.

Results
* D(E_F): 3.9 states/eV/f.u.
* SG: No. 44
* V: 71.97 Å³/f.u.

abc: 5.449 5.449 5.449
angles: 148.12 121.42 68.25
Fractional positions:
K 0.000 0.000 0.000
Tc 0.505 0.505 0.000
Tc 0.697 0.197 0.500
Ni 0.291 0.791 0.500



Entry b
VASP calculation (PBEsol) on a relaxed structure of KTc2Ni.

Results
* D(E_F): 3.9 states/eV/f.u.
* SG: No. 139
* V: 64.27 Å³/f.u.

abc: 5.515 5.515 5.515
angles: 141.59 141.59 55.45
Fractional positions:
K 0.000 0.000 0.000
Tc 0.250 0.750 0.500
Tc 0.750 0.250 0.500
Ni 0.500 0.500 0.000



Entry c
VASP calculation (PBEsol) on a relaxed structure of KTc2Ni.

Results
* D(E_F): 4.1 states/eV/f.u.
* SG: No. 8
* V: 76.74 Å³/f.u.

abc: 4.393 4.393 7.112
angles: 91.48 91.48 34.01
Fractional positions:
K 0.000 0.000 0.000
Tc 0.237 0.237 0.638
Tc 0.481 0.481 0.487
Ni 0.753 0.753 0.334



Entry d
VASP calculation (PBEsol) on a relaxed structure of KTc2Ni.

Results
* D(E_F): 3.5 states/eV/f.u.
* SG: No. 123
* V: 64.22 Å³/f.u.

abc: 3.603 3.603 4.946
angles: 90.00 90.00 90.00
Fractional positions:
K 0.000 0.000 0.000
Tc 0.000 0.500 0.500
Tc 0.500 0.000 0.500
Ni 0.500 0.500 0.000



Which structure is most stable? entry c, by 446 meV/atom over the runner-up.